This record from Alexandria describes ZnGa2Te2 after structural relaxation. The functional is PBE.

The structure in extended XYZ format:
```
10
Lattice="-5.358 -4.381 3.997 5.861 -4.734 2.668 0.469 2.446 3.310" Properties=species:S:1:pos:R:3 pbc="T T T"
Zn 0.000 0.000 0.000
Ga -2.254 -4.430 6.186
Ga -1.098 -1.010 3.494
Te 3.084 -5.149 3.368
Te -2.581 -3.966 3.297
Te 0.745 -2.298 1.593
Ga 3.225 -2.238 3.789
Te -0.242 -6.817 5.072
Zn 0.251 -4.557 3.332
Ga 2.069 -5.659 6.481
```

Computed properties:
**ρ**: 5.77 g/cm³
**Formation energy without anion corrections**: 0.03 eV per formula unit
**Energy relative to the lowest polymorph listed for this composition**: 0 meV/atom

This record from Alexandria describes ZnGa2Te4 after structural relaxation. The functional is PBE.

The structure in extended XYZ format:
```
7
Lattice="5.567 0.000 -2.226 -0.890 5.496 -2.226 -0.260 -0.306 7.424" Properties=species:S:1:pos:R:3 pbc="T T T"
Te 1.089 4.790 -1.018
Te 4.554 1.841 -1.018
Zn 2.339 2.748 -2.226
Te 2.850 3.349 2.794
Ga 0.594 3.969 1.485
Ga 3.823 1.221 1.485
Te 0.340 0.400 5.184
```

Computed properties:
**ρ**: 5.41 g/cm³
**Formation energy without anion corrections**: -2.62 eV per formula unit
**Energy relative to the lowest polymorph listed for this composition**: 8 meV/atom

This record from Alexandria describes Zn2GaTe4 after structural relaxation. The functional is PBE.

The structure in extended XYZ format:
```
7
Lattice="5.585 0.000 -2.234 -0.893 5.513 -2.234 -0.329 -0.387 7.276" Properties=species:S:1:pos:R:3 pbc="T T T"
Zn 3.801 1.185 1.405
Te 2.812 3.305 2.671
Zn 0.562 3.941 1.405
Te 4.558 1.822 -1.064
Te 0.286 0.336 5.076
Te 1.069 4.791 -1.064
Ga 2.346 2.757 -2.234
```

Computed properties:
**ρ**: 5.51 g/cm³
**Formation energy without anion corrections**: -2.15 eV per formula unit
**Energy relative to the lowest polymorph listed for this composition**: 0 meV/atom

This record from Alexandria describes Zn3GaTe after structural relaxation. The functional is PBE.

The structure in extended XYZ format:
```
5
Lattice="-1.225 -1.249 -4.552 4.644 0.522 -1.393 0.844 -4.685 1.059" Properties=species:S:1:pos:R:3 pbc="T T T"
Zn 2.322 0.261 -0.696
Zn 0.422 -2.342 0.529
Zn -0.612 -0.625 -2.276
Ga 0.000 0.000 0.000
Te 2.132 -2.706 -2.443
```

Computed properties:
**ρ**: 5.63 g/cm³
**Formation energy without anion corrections**: 1.35 eV per formula unit
**Energy relative to the lowest polymorph listed for this composition**: 0 meV/atom